[1]
Material: K2UCoSe4
Method: DFT, PBE-GGA
State: relaxed

```
data_K2UCoSe4
_cell_length_a 7.568
_cell_length_b 7.568
_cell_length_c 8.218
_cell_angle_alpha 90.00
_cell_angle_beta 90.00
_cell_angle_gamma 90.00
_space_group_name_H-M_alt 'I -4'
_space_group_IT_number 82
_space_group_name_Hall 'I -4'
loop_
_atom_site_label
_atom_site_type_symbol
_atom_site_fract_x
_atom_site_fract_y
_atom_site_fract_z
K1 K 0.000 0.000 0.000
K2 K 0.000 0.500 0.250
U1 U 0.000 0.500 0.750
Co1 Co 0.000 0.000 0.500
Se1 Se 0.177 0.241 0.578
```

Computed properties:
The density of states at the Fermi level comes out at 22.1 states/eV per cell. The total energy comes out at -80.39 eV for the cell shown.

---

[2]
Material: KUCoSe3
Method: DFT, PBE-GGA
State: relaxed

```
data_KUCoSe3
_cell_length_a 9.259
_cell_length_b 3.942
_cell_length_c 9.547
_cell_angle_alpha 90.00
_cell_angle_beta 111.24
_cell_angle_gamma 90.00
_space_group_name_H-M_alt 'P 1 21/m 1'
_space_group_IT_number 11
_space_group_name_Hall '-P 2yb'
loop_
_atom_site_label
_atom_site_type_symbol
_atom_site_fract_x
_atom_site_fract_y
_atom_site_fract_z
K1 K 0.204 0.250 0.238
U1 U 0.317 0.750 0.836
Co1 Co 0.082 0.250 0.590
Se1 Se 0.110 0.250 0.855
Se2 Se 0.193 0.750 0.523
Se3 Se 0.457 0.750 0.160
```

Computed properties:
The density of states at the Fermi level comes out at 11.3 states/eV per cell. The total energy comes out at -71.30 eV for the cell shown.

---

Number 1: formation energy from raw total energies -0.7085 eV/atom. Number 2: formation energy from raw total energies -0.9508 eV/atom.